The following is a DFT calculation (PBE) of a geometry-optimized BaGa2Au2 structure.

Summary:
Formation enthalpy at 0 K ... -545.1 meV per atom

Cell: 4.891 4.891 6.098 Å, 66.36 66.36 90.00°
Fractional positions:
1 Au 0.750 0.250 0.500
2 Ga 0.366 0.366 0.268
3 Ga 0.634 0.634 0.732
4 Au 0.250 0.750 0.500
5 Ba 0.000 0.000 0.000


The following is a DFT calculation (PBE) of a geometry-optimized Co3TcSb structure.

Summary:
Raw formation energy ... 1568 meV/atom
Excess energy over the best structure of this formula in the dataset ... 338 meV per atom

Cell: 4.561 4.561 4.561 Å, 90.00 90.00 90.00°
Fractional positions:
1 Tc 0.500 0.500 0.500
2 Sb 0.000 0.000 0.000
3 Co 0.000 0.500 0.000
4 Co 0.000 0.000 0.500
5 Co 0.500 0.000 0.000


The following is a DFT calculation (PBE) of a geometry-optimized InSb2P structure.

Summary:
Raw formation energy ... 360 meV/atom
Excess energy over the best structure of this formula in the dataset ... 269 meV per atom

Cell: 3.705 5.078 5.078 Å, 90.00 90.00 90.00°
Fractional positions:
1 In 0.500 0.500 0.000
2 Sb 0.000 0.000 0.000
3 P 0.500 0.000 0.500
4 Sb 0.000 0.500 0.500


The following is a DFT calculation (PBE) of a geometry-optimized CaTbBi structure.

Summary:
Formation enthalpy at 0 K ... -403.6 meV per atom

Cell: 4.085 4.085 6.605 Å, 108.02 108.02 90.00°
Fractional positions:
1 Bi 0.273 0.273 0.546
2 Tb 0.644 0.644 0.288
3 Ca 0.933 0.933 0.866


The following is a DFT calculation (PBE) of a geometry-optimized Sm2Ho3NpN6 structure.

Summary:
Raw formation energy ... -1552 meV/atom

Cell: 6.043 6.043 6.024 Å, 99.60 99.60 120.00°
Fractional positions:
1 N 0.229 0.229 0.754
2 N 0.397 0.084 0.250
3 N 0.916 0.603 0.750
4 Np 0.000 0.000 0.000
5 Ho 0.500 0.500 0.500
6 N 0.084 0.397 0.250
7 Sm 0.667 0.333 0.000
8 Ho 0.833 0.167 0.500
9 Sm 0.333 0.667 0.000
10 N 0.603 0.916 0.750
11 Ho 0.167 0.833 0.500
12 N 0.771 0.771 0.246


The following is a DFT calculation (PBE) of a geometry-optimized Nd2Sm8Ga structure.

Summary:
Formation enthalpy at 0 K ... -14.0 meV per atom

Cell: 5.555 7.554 9.899 Å, 112.37 106.29 90.00°
Fractional positions:
1 Sm 0.370 0.605 0.740
2 Sm 0.000 0.244 0.000
3 Sm 0.369 0.133 0.739
4 Sm 0.630 0.395 0.260
5 Sm 0.181 0.182 0.363
6 Sm 0.631 0.867 0.261
7 Sm 0.819 0.818 0.637
8 Sm 0.000 0.756 0.000
9 Nd 0.192 0.692 0.383
10 Nd 0.808 0.308 0.617
11 Ga 0.500 0.000 0.000


The following is a DFT calculation (PBE) of a geometry-optimized GdDyCu2 structure.

Summary:
Formation enthalpy at 0 K ... -228.1 meV per atom
Excess energy over the best structure of this formula in the dataset ... 6 meV per atom

Cell: 4.936 4.936 4.936 Å, 60.00 60.00 60.00°
Fractional positions:
1 Cu 0.250 0.250 0.250
2 Cu 0.750 0.750 0.750
3 Dy 0.000 0.000 0.000
4 Gd 0.500 0.500 0.500


The following is a DFT calculation (PBE) of a geometry-optimized CePaHgBi structure.

Summary:
Formation enthalpy at 0 K ... -109.7 meV per atom

Cell: 5.433 5.433 5.433 Å, 60.00 60.00 60.00°
Fractional positions:
1 Ce 0.000 0.000 0.000
2 Bi 0.750 0.750 0.750
3 Pa 0.500 0.500 0.500
4 Hg 0.250 0.250 0.250


The following is a DFT calculation (PBE) of a geometry-optimized V2GeAuI structure.

Summary:
Raw formation energy ... 689 meV/atom

Cell: 4.989 4.813 4.989 Å, 90.00 90.00 90.00°
Fractional positions:
1 I 0.500 0.500 0.500
2 V 0.000 0.000 0.500
3 V 0.500 0.000 0.000
4 Ge 0.000 0.000 0.000
5 Au 0.000 0.500 0.000


The following is a DFT calculation (PBE) of a geometry-optimized Ac2Mg12In7 structure.

Summary:
Formation enthalpy at 0 K ... -178.9 meV per atom

Cell: 4.595 11.740 11.740 Å, 120.00 90.00 90.00°
Fractional positions:
1 Mg 0.249 0.429 0.385
2 Ac 0.741 0.667 0.333
3 Mg 0.249 0.956 0.571
4 Mg 0.244 0.112 0.266
5 In 0.751 0.290 0.419
6 In 0.249 0.871 0.290
7 Mg 0.756 0.846 0.112
8 Mg 0.756 0.266 0.154
9 In 0.249 0.710 0.581
10 Mg 0.244 0.154 0.888
11 In 0.249 0.419 0.129
12 In 0.500 0.000 0.000
13 Ac 0.259 0.333 0.667
14 In 0.751 0.581 0.871
15 Mg 0.751 0.044 0.429
16 Mg 0.244 0.734 0.846
17 Mg 0.756 0.888 0.734
18 Mg 0.249 0.615 0.044
19 Mg 0.751 0.571 0.615
20 Mg 0.751 0.385 0.956
21 In 0.751 0.129 0.710


The following is a DFT calculation (PBE) of a geometry-optimized TbDyAlPd structure.

Summary:
Formation enthalpy at 0 K ... -617.3 meV per atom
Excess energy over the best structure of this formula in the dataset ... 0 meV per atom

Cell: 3.799 4.455 5.911 Å, 90.00 108.74 90.00°
Fractional positions:
1 Pd 0.428 0.000 0.856
2 Al 0.570 0.500 0.140
3 Dy 0.854 0.500 0.708
4 Tb 0.148 0.000 0.296


The following is a DFT calculation (PBE) of a geometry-optimized La6Ga2Ge structure.

Summary:
Formation enthalpy at 0 K ... -221.2 meV per atom
Excess energy over the best structure of this formula in the dataset ... 211 meV per atom

Cell: 7.660 7.660 11.372 Å, 90.00 90.00 90.00°
Fractional positions:
1 Ga 0.000 0.000 0.649
2 La 0.785 0.215 0.167
3 La 0.285 0.285 0.667
4 Ga 0.500 0.500 0.851
5 Ga 0.500 0.500 0.149
6 La 0.726 0.726 0.000
7 La 0.215 0.785 0.833
8 La 0.285 0.285 0.333
9 La 0.785 0.215 0.833
10 Ge 0.500 0.500 0.500
11 La 0.226 0.774 0.500
12 Ga 0.000 0.000 0.351
13 La 0.715 0.715 0.333
14 La 0.274 0.274 0.000
15 La 0.774 0.226 0.500
16 La 0.715 0.715 0.667
17 La 0.215 0.785 0.167
18 Ge 0.000 0.000 0.000


The following is a DFT calculation (PBE) of a geometry-optimized CeSm6Y2Tm structure.

Summary:
Formation enthalpy at 0 K ... 247.6 meV per atom

Cell: 8.813 6.961 6.692 Å, 121.34 102.74 90.00°
Fractional positions:
1 Sm 0.417 0.625 0.250
2 Sm 0.203 0.594 0.660
3 Y 0.170 0.092 0.185
4 Sm 0.797 0.934 0.340
5 Sm 0.203 0.066 0.660
6 Sm 0.583 0.375 0.750
7 Y 0.830 0.908 0.815
8 Ce 0.000 0.500 0.000
9 Tm 0.500 0.000 0.000
10 Sm 0.797 0.406 0.340


The following is a DFT calculation (PBE) of a geometry-optimized LiPa2Bi5 structure.

Summary:
Formation enthalpy at 0 K ... -225.5 meV per atom

Cell: 4.558 7.700 12.896 Å, 90.00 90.00 90.00°
Fractional positions:
1 Bi 0.500 0.286 0.585
2 Li 0.000 0.500 0.500
3 Bi 0.500 0.714 0.415
4 Pa 0.500 0.362 0.840
5 Pa 0.500 0.862 0.660
6 Bi 0.000 0.580 0.716
7 Bi 0.000 0.920 0.216
8 Bi 0.500 0.214 0.085
9 Pa 0.500 0.138 0.340
10 Bi 0.000 0.420 0.284
11 Bi 0.000 0.000 0.500
12 Bi 0.500 0.786 0.915
13 Li 0.000 0.000 0.000
14 Pa 0.500 0.638 0.160
15 Bi 0.000 0.500 0.000
16 Bi 0.000 0.080 0.784


The following is a DFT calculation (PBE) of a geometry-optimized La2CuIr structure.

Summary:
Formation enthalpy at 0 K ... -407.3 meV per atom

Cell: 4.216 4.216 7.593 Å, 73.88 73.88 60.00°
Fractional positions:
1 La 0.260 0.260 0.220
2 Ir 0.665 0.665 0.005
3 La 0.072 0.072 0.784
4 Cu 0.503 0.503 0.491


The following is a DFT calculation (PBE) of a geometry-optimized Al2ZnIr structure.

Summary:
Formation enthalpy at 0 K ... -217.0 meV per atom

Cell: 8.607 8.607 8.607 Å, 19.45 19.45 19.45°
Fractional positions:
1 Al 0.000 0.000 0.000
2 Ir 0.503 0.503 0.503
3 Zn 0.754 0.754 0.754
4 Al 0.243 0.243 0.243


The following is a DFT calculation (PBE) of a geometry-optimized RbBaNa structure.

Summary:
Formation enthalpy at 0 K ... 134.1 meV per atom
Excess energy over the best structure of this formula in the dataset ... 107 meV per atom

Cell: 6.977 6.977 4.455 Å, 90.00 90.00 120.00°
Fractional positions:
1 Na 0.333 0.667 0.519
2 Ba 0.000 0.000 0.994
3 Rb 0.667 0.333 0.477


The following is a DFT calculation (PBE) of a geometry-optimized CaDy4Sb5 structure.

Summary:
Raw formation energy ... -1056 meV/atom

Cell: 4.398 6.237 11.717 Å, 105.44 100.82 90.00°
Fractional positions:
1 Dy 0.799 0.799 0.598
2 Sb 0.199 0.699 0.399
3 Dy 0.599 0.599 0.198
4 Sb 0.000 0.500 0.000
5 Dy 0.201 0.201 0.402
6 Sb 0.604 0.104 0.209
7 Sb 0.801 0.301 0.601
8 Dy 0.401 0.401 0.802
9 Sb 0.396 0.896 0.791
10 Ca 0.000 0.000 0.000


The following is a DFT calculation (PBE) of a geometry-optimized SmTm3Tl3 structure.

Summary:
Formation enthalpy at 0 K ... -232.0 meV per atom

Cell: 5.212 9.357 9.357 Å, 120.00 90.00 90.00°
Fractional positions:
1 Tl 0.750 0.625 0.552
2 Tm 0.750 0.227 0.230
3 Tl 0.750 0.448 0.073
4 Tm 0.250 0.773 0.770
5 Tm 0.250 0.998 0.227
6 Tl 0.750 0.927 0.375
7 Tl 0.250 0.552 0.927
8 Tm 0.750 0.770 0.998
9 Tm 0.750 0.002 0.773
10 Tm 0.250 0.230 0.002
11 Tl 0.250 0.073 0.625
12 Sm 0.250 0.667 0.333
13 Tl 0.250 0.375 0.448
14 Sm 0.750 0.333 0.667


The following is a DFT calculation (PBE) of a geometry-optimized KAl3Mo structure.

Summary:
Formation enthalpy at 0 K ... 2221.1 meV per atom
Excess energy over the best structure of this formula in the dataset ... 1959 meV per atom

Cell: 5.298 5.298 5.298 Å, 90.00 90.00 90.00°
Fractional positions:
1 Al 0.000 0.000 0.500
2 Al 0.000 0.500 0.000
3 Al 0.500 0.000 0.000
4 K 0.000 0.000 0.000
5 Mo 0.500 0.500 0.500